Record 1
Density functional theory data (SCAN) for a crystal of HfPS2Br relaxed with PBEsol.

a = 4.7670 Å, b = 4.7670 Å, c = 5.2645 Å
α = 90.00°, β = 90.00°, γ = 90.00°
With the nearest neighbours (Å) after each atom.
Sites, in units of the cell vectors:
S1 0.0000 0.5000 0.0000  2 Hf 2.38
P1 0.0000 0.0000 0.5000  2 Hf 2.63
Hf1 0.0000 0.0000 0.0000  4 S 2.38, 2 P 2.63
Br1 0.5000 0.5000 0.5000  4 P 3.37, 8 S 3.55
S2 0.5000 0.0000 0.0000  2 Hf 2.38

Summary:
* total DFT energy (no corrections): -22.51 eV per atom
* space-group type: P4/mmm, No. 123
* formation energy from raw total energies: -0.157 eV/atom
* calculated volume: 119.6 Å³/cell

---

Record 2
Density functional theory data (SCAN) for a crystal of ZrTa2Fe relaxed with PBEsol.

a = 3.1832 Å, b = 4.4672 Å, c = 5.4071 Å
α = 114.40°, β = 107.12°, γ = 90.00°
With the nearest neighbours (Å) after each atom.
Sites, in units of the cell vectors:
Ta1 0.7661 0.7661 0.5323  2 Fe 2.70, 4 Ta 2.76, 2 Zr 2.95
Ta2 0.2339 0.2339 0.4677  2 Fe 2.70, 4 Ta 2.76, 2 Zr 2.95
Zr1 0.0000 0.5000 0.0000  4 Fe 2.74, 4 Ta 2.95
Fe1 0.5000 0.0000 0.0000  4 Ta 2.70, 4 Zr 2.74

Summary:
* ΔH_f (0 K): 4 meV per atom
* total DFT energy (no corrections): -45.49 eV per atom
* space-group type: Immm, No. 71
* calculated volume: 66.3 Å³/cell
* ΔE to the lowest computed polymorph: 6 meV per atom

---

Record 3
Density functional theory data (SCAN) for a crystal of TiCdTc2Te relaxed with PBEsol.

a = 4.9240 Å, b = 4.9240 Å, c = 5.1810 Å
α = 90.00°, β = 90.00°, γ = 90.00°
With the nearest neighbours (Å) after each atom.
Sites, in units of the cell vectors:
Ti1 0.5000 0.5000 0.5000  4 Te 3.48, 8 Tc 3.57
Cd1 0.0000 0.0000 0.0000  4 Tc 2.46, 2 Te 2.59
Tc1 0.5000 0.0000 0.0000  2 Cd 2.46
Tc2 0.0000 0.5000 0.0000  2 Cd 2.46
Te1 0.0000 0.0000 0.5000  2 Cd 2.59

Summary:
* total DFT energy (no corrections): -28.91 eV per atom
* space-group type: P4/mmm, No. 123
* formation energy from raw total energies: 1.854 eV/atom
* calculated volume: 125.6 Å³/cell

---

Record 4
Density functional theory data (SCAN) for a crystal of Y2OsC2 relaxed with PBEsol.

a = 5.0757 Å, b = 6.3981 Å, c = 9.7016 Å
α = 90.00°, β = 90.00°, γ = 90.00°
With the nearest neighbours (Å) after each atom.
Sites, in units of the cell vectors:
C1 0.2500 0.4607 0.2421  2 Os 1.93-1.98
Os1 0.7500 0.2758 0.8654  3 C 1.93-1.98
Os2 0.7500 0.7758 0.6346  3 C 1.93-1.98
C2 0.2500 0.9607 0.2579  2 Os 1.93-1.98
C3 0.2500 0.3257 0.5535  1 Os 1.94
Y1 0.7500 0.9730 0.2808  4 C 2.50-2.55
Y2 0.7500 0.4730 0.2192  4 C 2.50-2.55
Y3 0.2500 0.6836 0.4479  5 C 2.45-2.56
C4 0.2500 0.8257 0.9465  1 Os 1.94
Y4 0.2500 0.5270 0.7808  4 C 2.50-2.55
C5 0.7500 0.0393 0.7421  2 Os 1.93-1.98
Y5 0.7500 0.3164 0.5521  5 C 2.45-2.56
Y6 0.2500 0.1836 0.0521  5 C 2.45-2.56
Y7 0.7500 0.8164 0.9479  5 C 2.45-2.56
C6 0.7500 0.6743 0.4465  1 Os 1.94
Os3 0.2500 0.7242 0.1346  3 C 1.93-1.98
C7 0.7500 0.1743 0.0535  1 Os 1.94
Y8 0.2500 0.0270 0.7192  4 C 2.50-2.55
C8 0.7500 0.5393 0.7579  2 Os 1.93-1.98
Os4 0.2500 0.2242 0.3654  3 C 1.93-1.98

Summary:
* ΔH_f (0 K): -499 meV per atom
* total DFT energy (no corrections): -30.05 eV per atom
* space-group type: Pnma, No. 62
* calculated volume: 315.1 Å³/cell

---

Record 5
Density functional theory data (SCAN) for a crystal of CaIrW2 relaxed with PBEsol.

a = 2.7887 Å, b = 4.3429 Å, c = 5.7399 Å
α = 90.00°, β = 99.70°, γ = 90.00°
With the nearest neighbours (Å) after each atom.
Sites, in units of the cell vectors:
Ir1 0.2272 0.5000 0.7751  4 W 2.68-3.00, 2 Ir 2.79, 2 Ca 2.85
W1 0.7780 0.5000 0.2144  4 W 2.60-2.79, 1 Ir 2.72
Ca1 0.5168 0.0000 0.5090  2 Ca 2.79, 2 Ir 2.85, 4 W 2.90-3.04
W2 0.9780 0.0000 0.0016  4 W 2.60-2.79, 2 Ir 2.68, 1 Ca 2.90

Summary:
* ΔH_f (0 K): 437 meV per atom
* total DFT energy (no corrections): -54.60 eV per atom
* space-group type: Pm, No. 6
* calculated volume: 68.5 Å³/cell
* ΔE to the lowest computed polymorph: 0 meV per atom

---

Record 6
Density functional theory data (SCAN) for a crystal of CaMn3Ni relaxed with PBEsol.

a = 4.5583 Å, b = 4.5583 Å, c = 4.5583 Å
α = 90.00°, β = 90.00°, γ = 90.00°
With the nearest neighbours (Å) after each atom.
Sites, in units of the cell vectors:
Mn1 0.0000 0.0000 0.5000  2 Ni 2.28
Mn2 0.0000 0.5000 0.0000  2 Ni 2.28
Ca1 0.5000 0.5000 0.5000  12 Mn 3.22
Mn3 0.5000 0.0000 0.0000  2 Ni 2.28
Ni1 0.0000 0.0000 0.0000  6 Mn 2.28

Summary:
* ΔH_f (0 K): 155 meV per atom
* total DFT energy (no corrections): -15.97 eV per atom
* space-group type: Pm-3m, No. 221
* calculated volume: 94.7 Å³/cell
* ΔE to the lowest computed polymorph: 0 meV per atom

---

Record 7
Density functional theory data (SCAN) for a crystal of NbP2PdO relaxed with PBEsol.

a = 3.7730 Å, b = 4.5694 Å, c = 4.5694 Å
α = 90.00°, β = 90.00°, γ = 90.00°
With the nearest neighbours (Å) after each atom.
Sites, in units of the cell vectors:
Nb1 0.5000 0.5000 0.5000  8 P 2.96, 4 O 3.23
Pd1 0.0000 0.0000 0.0000  2 O 1.89
P1 0.0000 0.5000 0.0000  2 Pd 2.28
O1 0.5000 0.0000 0.0000  2 Pd 1.89
P2 0.0000 0.0000 0.5000  2 Pd 2.28

Summary:
* total DFT energy (no corrections): -18.16 eV per atom
* space-group type: P4/mmm, No. 123
* formation energy from raw total energies: 0.428 eV/atom
* calculated volume: 78.8 Å³/cell

---

Record 8
Density functional theory data (SCAN) for a crystal of Li2Hg relaxed with PBEsol.

a = 2.8882 Å, b = 4.5050 Å, c = 4.5050 Å
α = 120.00°, β = 90.00°, γ = 90.00°
With the nearest neighbours (Å) after each atom.
Sites, in units of the cell vectors:
Li1 0.3942 0.6667 0.3333  5 Li 2.67-2.89, 3 Hg 2.84
Hg1 0.0000 0.0000 0.0000  12 Li 2.84-3.13, 2 Hg 2.89
Li2 0.6058 0.3333 0.6667  5 Li 2.67-2.89, 3 Hg 2.84

Summary:
* ΔH_f (0 K): -380 meV per atom
* total DFT energy (no corrections): -24.70 eV per atom
* space-group type: P-3m1, No. 164
* calculated volume: 50.8 Å³/cell

---

Record 9
Density functional theory data (SCAN) for a crystal of LaAl2Co relaxed with PBEsol.

a = 3.0026 Å, b = 3.0026 Å, c = 7.6663 Å
α = 90.00°, β = 90.00°, γ = 90.00°
With the nearest neighbours (Å) after each atom.
Sites, in units of the cell vectors:
Co1 0.5000 0.5000 0.0000  8 Al 2.51
Al1 0.0000 0.0000 0.1738  4 Co 2.51, 1 Al 2.66
Al2 0.0000 0.0000 0.8262  4 Co 2.51, 1 Al 2.66
La1 0.5000 0.5000 0.5000  4 La 3.00, 8 Al 3.28

Summary:
* ΔH_f (0 K): -347 meV per atom
* total DFT energy (no corrections): -19.33 eV per atom
* space-group type: P4/mmm, No. 123
* calculated volume: 69.1 Å³/cell

---

Record 10
Density functional theory data (SCAN) for a crystal of NaAgO2 relaxed with PBEsol.

a = 3.1934 Å, b = 3.1934 Å, c = 6.8614 Å
α = 76.54°, β = 76.54°, γ = 60.00°
With the nearest neighbours (Å) after each atom.
Sites, in units of the cell vectors:
Ag1 0.0000 0.0000 0.0000  2 O 1.89
O1 0.9047 0.9047 0.2860  1 Ag 1.89
Na1 0.5000 0.5000 0.5000  6 O 2.32
O2 0.0953 0.0953 0.7140  1 Ag 1.89

Summary:
* total DFT energy (no corrections): -12.33 eV per atom
* space-group type: R-3m, No. 166
* formation energy from raw total energies: -0.318 eV/atom
* calculated volume: 58.4 Å³/cell

---

Record 11
Density functional theory data (SCAN) for a crystal of SiTeW2 relaxed with PBEsol.

a = 3.0510 Å, b = 4.5987 Å, c = 5.1357 Å
α = 103.10°, β = 90.00°, γ = 109.37°
With the nearest neighbours (Å) after each atom.
Sites, in units of the cell vectors:
W1 0.7266 0.4532 0.7273  2 Si 2.54, 1 Te 2.67
W2 0.2734 0.5468 0.2727  2 Si 2.54, 1 Te 2.67
Si1 0.0000 0.0000 0.5000  4 W 2.54
Te1 0.5000 0.0000 0.0000  6 W 2.67-2.88, 4 Si 2.99

Summary:
* total DFT energy (no corrections): -46.04 eV per atom
* space-group type: C2/m, No. 12
* formation energy from raw total energies: 0.623 eV/atom
* calculated volume: 66.0 Å³/cell
* ΔE to the lowest computed polymorph: 124 meV per atom

---

Record 12
Density functional theory data (SCAN) for a crystal of LaOsPb2 relaxed with PBEsol.

a = 4.4847 Å, b = 5.2866 Å, c = 5.2866 Å
α = 119.09°, β = 90.00°, γ = 90.00°
With the nearest neighbours (Å) after each atom.
Sites, in units of the cell vectors:
La1 0.5000 0.5000 0.5000  2 Os 2.68
Os1 0.5000 0.0000 0.0000  2 La 2.68, 4 Pb 2.75
Pb1 0.0000 0.1747 0.8253  2 Os 2.75, 2 Pb 3.01
Pb2 0.0000 0.8253 0.1747  2 Os 2.75, 2 Pb 3.01

Summary:
* ΔH_f (0 K): -76 meV per atom
* total DFT energy (no corrections): -66.71 eV per atom
* space-group type: Cmmm, No. 65
* calculated volume: 109.5 Å³/cell